InCl3: relaxed, PBE.

As for the uncorrected formation energy: -0.742 eV/atom. For the total energy, the calculation gives -22.49 eV/cell. The crystal system is orthorhombic.

It has space group Immm (No. 71), with a = 3.441 Å, b = 5.206 Å, c = 12.603 Å, α = 90.00°, β = 90.00° and γ = 90.00°. The distinct sites, in fractional coordinates, are In at (0.000, 0.000, 0.000), Cl at (0.000, 0.000, 0.500) and Cl at (0.000, 0.500, 0.351).